Record 1
Material: Tb4Tm3Sc2
Method: DFT, GGA-PBE
State: optimized geometry

size of the total moment: 0.00 μB per formula unit
relative energy among the computed polymorphs: 0.048 eV/atom
density of states at the Fermi level: 26.30 states/eV/cell

Unit cell a=9.876 b=9.876 c=5.863 alpha=95.69 beta=95.69 gamma=69.78
Fractional coordinates of all 18 atoms:
Tb1 0.048 0.822 0.954
Tb2 0.173 0.385 0.105
Tb3 0.178 0.952 0.546
Tb4 0.385 0.173 0.605
Tb5 0.615 0.827 0.395
Tb6 0.822 0.048 0.454
Tb7 0.827 0.615 0.895
Tb8 0.952 0.178 0.046
Tm1 0.016 0.325 0.577
Tm2 0.325 0.016 0.077
Tm3 0.357 0.643 0.250
Tm4 0.643 0.357 0.750
Tm5 0.675 0.984 0.923
Tm6 0.984 0.675 0.423
Sc1 0.289 0.513 0.701
Sc2 0.487 0.711 0.799
Sc3 0.513 0.289 0.201
Sc4 0.711 0.487 0.299

Record 2
Material: Tb2Tm6Sc3
Method: DFT, GGA-PBE
State: optimized geometry

size of the total moment: 0.00 μB per formula unit
density of states at the Fermi level: 17.15 states/eV/cell
raw total energy: -4.96 eV per atom

Unit cell a=30.726 b=30.726 c=30.726 alpha=6.44 beta=6.44 gamma=6.44
Fractional coordinates of all 11 atoms:
Tb1 0.047 0.047 0.047
Tb2 0.953 0.953 0.953
Tm1 0.137 0.137 0.137
Tm2 0.318 0.318 0.318
Tm3 0.412 0.412 0.412
Tm4 0.588 0.588 0.588
Tm5 0.682 0.682 0.682
Tm6 0.863 0.863 0.863
Sc1 0.226 0.226 0.226
Sc2 0.500 0.500 0.500
Sc3 0.774 0.774 0.774

Record 3
Material: Tb6TmSc2
Method: DFT, GGA-PBE
State: optimized geometry

size of the total moment: 0.00 μB per formula unit
relative energy among the computed polymorphs: 0.000 eV/atom
density of states at the Fermi level: 32.07 states/eV/cell

Unit cell a=11.635 b=11.635 c=11.635 alpha=152.61 beta=131.73 gamma=56.39
Fractional coordinates of all 18 atoms:
Tb1 0.003 0.344 0.675
Tb2 0.080 0.080 0.000
Tb3 0.169 0.844 0.341
Tb4 0.331 0.672 0.675
Tb5 0.420 0.420 0.000
Tb6 0.497 0.172 0.341
Tb7 0.503 0.828 0.659
Tb8 0.580 0.580 0.000
Tb9 0.669 0.328 0.325
Tb10 0.831 0.156 0.659
Tb11 0.920 0.920 0.000
Tb12 0.997 0.656 0.325
Tm1 0.250 0.250 0.000
Tm2 0.750 0.750 0.000
Sc1 0.167 0.495 0.661
Sc2 0.333 0.995 0.328
Sc3 0.667 0.005 0.672
Sc4 0.833 0.505 0.339

Record 4
Material: Tb12TmSc5
Method: DFT, GGA-PBE
State: optimized geometry

size of the total moment: 0.00 μB per formula unit
density of states at the Fermi level: 23.72 states/eV/cell
raw total energy: -4.93 eV per atom

Unit cell a=9.718 b=9.718 c=6.638 alpha=91.30 beta=91.30 gamma=122.08
Fractional coordinates of all 18 atoms:
Tb1 0.151 0.444 0.788
Tb2 0.155 0.155 0.049
Tb3 0.166 0.520 0.288
Tb4 0.337 0.337 0.473
Tb5 0.444 0.151 0.788
Tb6 0.480 0.834 0.712
Tb7 0.520 0.166 0.288
Tb8 0.556 0.849 0.212
Tb9 0.663 0.663 0.527
Tb10 0.834 0.480 0.712
Tb11 0.845 0.845 0.951
Tb12 0.849 0.556 0.212
Tm1 0.500 0.500 0.000
Sc1 0.000 0.000 0.500
Sc2 0.173 0.827 0.500
Sc3 0.192 0.808 0.000
Sc4 0.808 0.192 0.000
Sc5 0.827 0.173 0.500

Record 5
Material: TbTm3Sc5
Method: DFT, GGA-PBE
State: optimized geometry

size of the total moment: 0.00 μB per formula unit
density of states at the Fermi level: 19.96 states/eV/cell
raw total energy: -5.22 eV per atom

Unit cell a=9.196 b=9.196 c=9.196 alpha=126.40 beta=126.40 gamma=79.22
Fractional coordinates of all 18 atoms:
Tb1 0.250 0.750 0.500
Tb2 0.750 0.250 0.500
Tm1 0.119 0.619 0.738
Tm2 0.250 0.250 0.000
Tm3 0.381 0.119 0.500
Tm4 0.619 0.881 0.500
Tm5 0.750 0.750 0.000
Tm6 0.881 0.381 0.262
Sc1 0.000 0.000 0.000
Sc2 0.070 0.161 0.500
Sc3 0.161 0.661 0.092
Sc4 0.339 0.430 0.500
Sc5 0.430 0.930 0.092
Sc6 0.500 0.500 0.000
Sc7 0.570 0.070 0.908
Sc8 0.661 0.570 0.500
Sc9 0.839 0.339 0.908
Sc10 0.930 0.839 0.500

Record 6
Material: TbTm2Sc4
Method: DFT, GGA-PBE
State: optimized geometry

size of the total moment: 0.00 μB per formula unit
relative energy among the computed polymorphs: 0.007 eV/atom
density of states at the Fermi level: 22.91 states/eV/cell

Unit cell a=10.552 b=11.037 c=3.354 alpha=90.00 beta=90.00 gamma=90.00
Fractional coordinates of all 14 atoms:
Tb1 0.000 0.000 0.000
Tb2 0.500 0.500 0.000
Tm1 0.196 0.500 0.500
Tm2 0.304 0.000 0.500
Tm3 0.696 0.000 0.500
Tm4 0.804 0.500 0.500
Sc1 0.000 0.272 0.500
Sc2 0.000 0.728 0.500
Sc3 0.250 0.250 0.000
Sc4 0.250 0.750 0.000
Sc5 0.500 0.228 0.500
Sc6 0.500 0.772 0.500
Sc7 0.750 0.250 0.000
Sc8 0.750 0.750 0.000